Os2PtW meta-GGA SCAN single point on PBEsol structure; density of states at the Fermi level = 0.86 states/eV per atom; V = 58.09 Å³ per cell; excess energy over the best structure of this formula in the dataset = 157 meV/atom
1.0
4.7312 0.0000 0.0000
0.0000 2.7459 0.0000
-1.6436 0.0000 4.4717
Os Pt W
2 1 1
Direct
0.0000 0.0000 0.0000
0.0000 0.5000 0.5000
0.5000 0.0000 0.5000
0.5000 0.5000 0.0000